VASP calculation (PBE-GGA) on a relaxed structure of CuNi7Rh4.

The spin magnetization comes out at 6.5 μB per formula unit. Its symmetry is No. 12. As for the final energy: -5.85 eV per atom. The calculation puts the calculated formation energy at 0.3184 eV/atom.

abc: 4.350 8.457 4.913
angles: 87.31 63.72 75.10
Fractional positions:
Cu  0.000  0.000  0.000
Ni  0.800  0.916  0.485
Ni  0.200  0.084  0.515
Ni  0.036  0.617  0.310
Ni  0.964  0.383  0.690
Ni  0.349  0.527  0.775
Ni  0.500  0.000  0.000
Ni  0.651  0.473  0.225
Rh  0.629  0.227  0.515
Rh  0.371  0.773  0.485
Rh  0.710  0.700  0.880
Rh  0.290  0.300  0.120